(1)
# Rb2BeS PBE relaxed
data_Rb2BeS
_cell_length_a 6.668
_cell_length_b 6.668
_cell_length_c 18.935
_cell_angle_alpha 90.00
_cell_angle_beta 90.00
_cell_angle_gamma 90.00
_symmetry_space_group_name_H-M 'I -4 2 d'
_symmetry_Int_Tables_number 122
_symmetry_space_group_name_Hall 'I -4 2bw'
loop_
_atom_site_label
_atom_site_type_symbol
_atom_site_fract_x
_atom_site_fract_y
_atom_site_fract_z
Rb1 Rb 0.188 0.250 0.125
Be1 Be 0.000 0.000 0.500
S1 S 0.000 0.000 0.000
# Spin magnetization (μB/f.u.): 0.0
# Volume (Å³/atom): 52.6
# E_form (uncorrected) (kJ/mol of formula units): 141

=====

(2)
# Rb5Be2S4 PBE relaxed
data_Rb5Be2S4
_cell_length_a 23.235
_cell_length_b 3.830
_cell_length_c 10.154
_cell_angle_alpha 90.00
_cell_angle_beta 106.86
_cell_angle_gamma 90.00
_symmetry_space_group_name_H-M 'C 1 2/m 1'
_symmetry_Int_Tables_number 12
loop_
_symmetry_equiv_pos_as_xyz
'x,y,z'
'-x,-y,-z'
'-x,y,-z'
'x,-y,z'
'x+1/2,y+1/2,z'
'-x+1/2,-y+1/2,-z'
'-x+1/2,y+1/2,-z'
'x+1/2,-y+1/2,z'
loop_
_atom_site_label
_atom_site_type_symbol
_atom_site_fract_x
_atom_site_fract_y
_atom_site_fract_z
Rb1 Rb 0.000 0.000 0.000
Rb2 Rb 0.098 0.500 0.676
Rb3 Rb 0.204 0.500 0.305
Be1 Be 0.081 0.000 0.361
S1 S 0.041 0.500 0.280
S2 S 0.158 0.000 0.506
# Spin magnetization (μB/f.u.): 0.0
# Volume (Å³/atom): 39.3
# E_form (uncorrected) (kJ/mol of formula units): -906

=====

(3)
# Rb2Be2S3 PBE relaxed
data_Rb2Be2S3
_cell_length_a 14.142
_cell_length_b 3.556
_cell_length_c 9.602
_cell_angle_alpha 90.00
_cell_angle_beta 132.54
_cell_angle_gamma 90.00
_symmetry_space_group_name_H-M 'C 1 2/m 1'
_symmetry_Int_Tables_number 12
loop_
_symmetry_equiv_pos_as_xyz
'x,y,z'
'-x,-y,-z'
'-x,y,-z'
'x,-y,z'
'x+1/2,y+1/2,z'
'-x+1/2,-y+1/2,-z'
'-x+1/2,y+1/2,-z'
'x+1/2,-y+1/2,z'
loop_
_atom_site_label
_atom_site_type_symbol
_atom_site_fract_x
_atom_site_fract_y
_atom_site_fract_z
Rb1 Rb 0.001 0.000 0.289
Be1 Be 0.190 0.500 0.189
S1 S 0.000 0.500 0.000
S2 S 0.209 0.500 0.710
# Spin magnetization (μB/f.u.): 0.0
# Volume (Å³/atom): 25.4
# E_form (uncorrected) (kJ/mol of formula units): -676

=====

(4)
# RbBeS2 PBE relaxed
data_RbBeS2
_cell_length_a 5.710
_cell_length_b 5.710
_cell_length_c 12.080
_cell_angle_alpha 90.00
_cell_angle_beta 90.00
_cell_angle_gamma 90.00
_symmetry_space_group_name_H-M 'I 41/a m d'
_symmetry_Int_Tables_number 141
loop_
_symmetry_equiv_pos_as_xyz
'x,y,z'
'-x,-y,-z'
'-y+1/4,x+3/4,z+1/4'
'y+1/4,-x+3/4,-z+1/4'
'-x+1/2,-y,z+1/2'
'x+1/2,y,-z+1/2'
'y+1/4,-x+1/4,z+3/4'
'-y+1/4,x+1/4,-z+3/4'
'x,-y,-z'
'-x,y,z'
'-y+1/4,-x+1/4,-z+3/4'
'y+1/4,x+1/4,z+3/4'
'-x+1/2,y,-z+1/2'
'x+1/2,-y,z+1/2'
'y+1/4,x+3/4,-z+1/4'
'-y+1/4,-x+3/4,z+1/4'
'x+1/2,y+1/2,z+1/2'
'-x+1/2,-y+1/2,-z+1/2'
'-y+3/4,x+1/4,z+3/4'
'y+3/4,-x+1/4,-z+3/4'
'-x,-y+1/2,z'
'x,y+1/2,-z'
'y+3/4,-x+3/4,z+1/4'
'-y+3/4,x+3/4,-z+1/4'
'x+1/2,-y+1/2,-z+1/2'
'-x+1/2,y+1/2,z+1/2'
'-y+3/4,-x+3/4,-z+1/4'
'y+3/4,x+3/4,z+1/4'
'-x,y+1/2,-z'
'x,-y+1/2,z'
'y+3/4,x+1/4,-z+3/4'
'-y+3/4,-x+1/4,z+3/4'
loop_
_atom_site_label
_atom_site_type_symbol
_atom_site_fract_x
_atom_site_fract_y
_atom_site_fract_z
Rb1 Rb 0.000 0.250 0.375
Be1 Be 0.000 0.250 0.875
S1 S 0.000 0.000 0.000
# Spin magnetization (μB/f.u.): 0.0
# Volume (Å³/atom): 24.6
# E_form (uncorrected) (kJ/mol of formula units): -303

=====

(5)
# RbBeS3 PBE relaxed
data_RbBeS3
_cell_length_a 6.091
_cell_length_b 6.091
_cell_length_c 6.091
_cell_angle_alpha 90.00
_cell_angle_beta 90.00
_cell_angle_gamma 90.00
_symmetry_space_group_name_H-M 'P m -3 m'
_symmetry_Int_Tables_number 221
_symmetry_space_group_name_Hall '-P 4 2 3'
loop_
_atom_site_label
_atom_site_type_symbol
_atom_site_fract_x
_atom_site_fract_y
_atom_site_fract_z
Rb1 Rb 0.000 0.000 0.000
Be1 Be 0.500 0.500 0.500
S1 S 0.000 0.000 0.500
# Spin magnetization (μB/f.u.): 5.0
# Volume (Å³/atom): 45.2
# E_form (uncorrected) (kJ/mol of formula units): 821

=====

(6)
# RbBeS3 PBE relaxed
data_RbBeS3
_cell_length_a 4.613
_cell_length_b 4.613
_cell_length_c 4.613
_cell_angle_alpha 90.00
_cell_angle_beta 90.00
_cell_angle_gamma 90.00
_symmetry_space_group_name_H-M 'P m -3 m'
_symmetry_Int_Tables_number 221
_symmetry_space_group_name_Hall '-P 4 2 3'
loop_
_atom_site_label
_atom_site_type_symbol
_atom_site_fract_x
_atom_site_fract_y
_atom_site_fract_z
Rb1 Rb 0.000 0.000 0.000
Be1 Be 0.500 0.500 0.500
S1 S 0.000 0.500 0.500
# Spin magnetization (μB/f.u.): 0.0
# Volume (Å³/atom): 19.6
# E_form (uncorrected) (kJ/mol of formula units): -39

=====

(7)
# RbBeSb2S PBE relaxed
data_RbBeSb2S
_cell_length_a 6.182
_cell_length_b 6.182
_cell_length_c 5.552
_cell_angle_alpha 90.00
_cell_angle_beta 90.00
_cell_angle_gamma 90.00
_symmetry_space_group_name_H-M 'P 4/m m m'
_symmetry_Int_Tables_number 123
_symmetry_space_group_name_Hall '-P 4 2'
loop_
_atom_site_label
_atom_site_type_symbol
_atom_site_fract_x
_atom_site_fract_y
_atom_site_fract_z
Rb1 Rb 0.000 0.000 0.000
Be1 Be 0.500 0.500 0.500
Sb1 Sb 0.000 0.500 0.000
S1 S 0.000 0.000 0.500
# Spin magnetization (μB/f.u.): 1.1
# Volume (Å³/atom): 42.4
# E_form (uncorrected) (kJ/mol of formula units): 884

=====

(8)
# RbScBeS3 PBE relaxed
data_RbScBeS3
_cell_length_a 9.007
_cell_length_b 3.711
_cell_length_c 9.174
_cell_angle_alpha 90.00
_cell_angle_beta 112.75
_cell_angle_gamma 90.00
_symmetry_space_group_name_H-M 'P 1 21/m 1'
_symmetry_Int_Tables_number 11
loop_
_symmetry_equiv_pos_as_xyz
'x,y,z'
'-x,-y,-z'
'-x,y+1/2,-z'
'x,-y+1/2,z'
loop_
_atom_site_label
_atom_site_type_symbol
_atom_site_fract_x
_atom_site_fract_y
_atom_site_fract_z
Rb1 Rb 0.213 0.250 0.240
Sc1 Sc 0.334 0.750 0.860
Be1 Be 0.079 0.250 0.605
S1 S 0.128 0.250 0.845
S2 S 0.172 0.750 0.539
S3 S 0.477 0.750 0.159
# Spin magnetization (μB/f.u.): 0.0
# Volume (Å³/atom): 23.6
# E_form (uncorrected) (kJ/mol of formula units): -872

=====

(9)
# Rb2BeSiS4 PBE relaxed
data_Rb2BeSiS4
_cell_length_a 6.816
_cell_length_b 6.816
_cell_length_c 8.412
_cell_angle_alpha 90.00
_cell_angle_beta 90.00
_cell_angle_gamma 90.00
_symmetry_space_group_name_H-M 'I -4'
_symmetry_Int_Tables_number 82
loop_
_symmetry_equiv_pos_as_xyz
'x,y,z'
'y,-x,-z'
'-x,-y,z'
'-y,x,-z'
'x+1/2,y+1/2,z+1/2'
'y+1/2,-x+1/2,-z+1/2'
'-x+1/2,-y+1/2,z+1/2'
'-y+1/2,x+1/2,-z+1/2'
loop_
_atom_site_label
_atom_site_type_symbol
_atom_site_fract_x
_atom_site_fract_y
_atom_site_fract_z
Rb1 Rb 0.000 0.000 0.000
Rb2 Rb 0.000 0.500 0.250
Be1 Be 0.000 0.000 0.500
Si1 Si 0.000 0.500 0.750
S1 S 0.119 0.255 0.618
# Spin magnetization (μB/f.u.): 0.0
# Volume (Å³/atom): 24.4
# E_form (uncorrected) (kJ/mol of formula units): -785

=====

(10)
# RbBe2SiS PBE relaxed
data_RbBe2SiS
_cell_length_a 4.303
_cell_length_b 4.303
_cell_length_c 7.101
_cell_angle_alpha 90.00
_cell_angle_beta 90.00
_cell_angle_gamma 90.00
_symmetry_space_group_name_H-M 'P 4/m m m'
_symmetry_Int_Tables_number 123
_symmetry_space_group_name_Hall '-P 4 2'
loop_
_atom_site_label
_atom_site_type_symbol
_atom_site_fract_x
_atom_site_fract_y
_atom_site_fract_z
Rb1 Rb 0.000 0.000 0.000
Be1 Be 0.000 0.500 0.500
Si1 Si 0.000 0.000 0.500
S1 S 0.500 0.500 0.000
# Spin magnetization (μB/f.u.): 1.0
# Volume (Å³/atom): 26.3
# E_form (uncorrected) (kJ/mol of formula units): 304

=====

(11)
# RbSrBeS2 PBE relaxed
data_RbSrBeS2
_cell_length_a 7.589
_cell_length_b 4.834
_cell_length_c 8.733
_cell_angle_alpha 90.00
_cell_angle_beta 101.82
_cell_angle_gamma 90.00
_symmetry_space_group_name_H-M 'P 1 2/c 1'
_symmetry_Int_Tables_number 13
loop_
_symmetry_equiv_pos_as_xyz
'x,y,z'
'-x,-y,-z'
'-x,y,-z+1/2'
'x,-y,z+1/2'
loop_
_atom_site_label
_atom_site_type_symbol
_atom_site_fract_x
_atom_site_fract_y
_atom_site_fract_z
Rb1 Rb 0.000 0.205 0.250
Sr1 Sr 0.500 0.485 0.750
Be1 Be 0.500 0.000 0.000
S1 S 0.289 0.241 0.967
# Spin magnetization (μB/f.u.): 0.8
# Volume (Å³/atom): 31.4
# E_form (uncorrected) (kJ/mol of formula units): -473

=====

(12)
# Rb2TaBeS5 PBE relaxed
data_Rb2TaBeS5
_cell_length_a 3.556
_cell_length_b 20.466
_cell_length_c 13.331
_cell_angle_alpha 90.00
_cell_angle_beta 90.00
_cell_angle_gamma 90.00
_symmetry_space_group_name_H-M 'C m c 21'
_symmetry_Int_Tables_number 36
loop_
_symmetry_equiv_pos_as_xyz
'x,y,z'
'-x,-y,z+1/2'
'-x,y,z'
'x,-y,z+1/2'
'x+1/2,y+1/2,z'
'-x+1/2,-y+1/2,z+1/2'
'-x+1/2,y+1/2,z'
'x+1/2,-y+1/2,z+1/2'
loop_
_atom_site_label
_atom_site_type_symbol
_atom_site_fract_x
_atom_site_fract_y
_atom_site_fract_z
Rb1 Rb 0.000 0.112 0.000
Rb2 Rb 0.000 0.121 0.393
Ta1 Ta 0.000 0.220 0.718
Be1 Be 0.000 0.408 0.153
S1 S 0.000 0.089 0.739
S2 S 0.000 0.286 0.345
S3 S 0.000 0.307 0.092
S4 S 0.000 0.329 0.695
S5 S 0.000 0.477 0.043
# Spin magnetization (μB/f.u.): 0.0
# Volume (Å³/atom): 26.9
# E_form (uncorrected) (kJ/mol of formula units): -810

=====

> What is the spin magnetization in the fifth record?

5.0 μB/f.u.

=====

> Look up the volume of the third one.

25.4 Å³/atom